Material: CrO
Method: DFT, PBE+U
State: relaxed

* calculated total energy: -7.35 eV per atom

a b c (Å): 5.8598 5.8598 5.8598
angles (deg): 90.00 90.00 90.00
With the nearest neighbours (Å) after each atom.
Positions (direct):
Cr 0.0000 0.2500 0.5000  4 O 2.07
Cr 0.0000 0.7500 0.5000  4 O 2.07
Cr 0.2500 0.5000 0.0000  4 O 2.07
Cr 0.5000 0.0000 0.2500  4 O 2.07
Cr 0.5000 0.0000 0.7500  4 O 2.07
Cr 0.7500 0.5000 0.0000  4 O 2.07
O 0.0000 0.5000 0.2500  4 Cr 2.07
O 0.0000 0.5000 0.7500  4 Cr 2.07
O 0.2500 0.0000 0.5000  4 Cr 2.07
O 0.5000 0.2500 0.0000  4 Cr 2.07
O 0.5000 0.7500 0.0000  4 Cr 2.07
O 0.7500 0.0000 0.5000  4 Cr 2.07